Record 1
Computed, not measured: an optimized crystal structure of CePaCd at the PBE level of DFT.

The structure in POSCAR format:
```
CePaCd
1.0
3.768 0.000 0.000
0.000 3.768 0.000
-1.884 -1.884 5.290
Pa Ce Cd
1 1 1
Cartesian
0.000 0.000 3.301
1.884 1.884 1.992
1.884 1.884 5.287
```

Output
DOS at the Fermi energy, states/eV/cell: 7.793
Raw total energy, eV/atom: -5.265
ΔH_f (0 K), meV/atom: 183
Density, g/cm3: 10.69

---

Record 2
Computed, not measured: an optimized crystal structure of In3PdCl at the PBE level of DFT.

The structure in POSCAR format:
```
In3PdCl
1.0
-3.102 2.823 3.598
3.578 -1.210 4.034
2.849 4.594 -1.149
Cl Pd In
1 1 3
Cartesian
0.000 0.000 0.000
1.662 3.104 3.242
1.789 -0.605 2.017
-1.551 1.412 1.799
1.424 2.297 -0.574
```

Output
DOS at the Fermi energy, states/eV/cell: 1.720
E_form (uncorrected), eV/atom: 0.3960
Raw total energy, eV/atom: -2.655
Density, g/cm3: 4.79